The following is a PBE calculation of a relaxed structure of NbS2, from the Alexandria database.

abc: 7.2225 7.2225 7.2225
angles: 27.11 27.11 27.11
Fractional coordinates of all 3 atoms:
1 Nb 0.0000 0.0000 0.0000
2 S 0.4075 0.4075 0.4075
3 S 0.5925 0.5925 0.5925

Results
Its total magnetization is 0.00 μB per atom. The space group is No. 166. The electronic total energy is -7.0992 eV/atom. For the density of states at the Fermi level, the calculation gives 3.0 states/eV/cell.